Entry 1:
## AsPd4I5 (PBE)

Data for AsPd4I5 after structural relaxation.

Results
The volume is 270.1 Å³ per cell. The calculation puts the density at 6.98 g cm⁻³. The value obtained for the magnetic moment is 0.00 μB per cell. The space-group type is No. 12. The calculation puts the energy relative to the elements, uncorrected at -1.18 eV per formula unit.

Lattice parameters (Å, degrees): 4.037 7.668 9.172 102.45 102.71 90.00
Fractional coordinates of all 10 atoms:
As 0.500 0.000 0.000
Pd 0.346 0.914 0.692
Pd 0.997 0.794 0.994
Pd 0.654 0.086 0.308
Pd 0.003 0.206 0.006
I 0.836 0.667 0.673
I 0.841 0.156 0.683
I 0.159 0.844 0.317
I 0.500 0.500 0.000
I 0.164 0.333 0.327



Entry 2:
## As2Pd2I (PBE)

Data for As2Pd2I after structural relaxation.

Results
The volume is 216.3 Å³ per cell. The calculation puts the density at 7.52 g cm⁻³. As for the excess energy over the best structure of this formula in the dataset: 0.007 eV/atom. The value obtained for the magnetic moment is 0.00 μB per cell. The space-group type is No. 127. The calculation puts the energy relative to the elements, uncorrected at -0.02 eV per formula unit.

Lattice parameters (Å, degrees): 7.708 7.708 3.641 90.00 90.00 90.00
Fractional coordinates of all 10 atoms:
I 0.000 0.000 0.000
I 0.500 0.500 0.000
As 0.117 0.617 0.500
As 0.617 0.883 0.500
As 0.883 0.383 0.500
As 0.383 0.117 0.500
Pd 0.370 0.870 0.000
Pd 0.870 0.630 0.000
Pd 0.630 0.130 0.000
Pd 0.130 0.370 0.000



Entry 3:
## AsPd2I (PBE)

Data for AsPd2I after structural relaxation.

Results
The volume is 76.5 Å³ per cell. The calculation puts the density at 9.00 g cm⁻³. As for the excess energy over the best structure of this formula in the dataset: 0.192 eV/atom. The value obtained for the magnetic moment is 0.00 μB per cell. The space-group type is No. 225. The calculation puts the energy relative to the elements, uncorrected at 0.65 eV per formula unit.

Lattice parameters (Å, degrees): 4.765 4.765 4.765 60.00 60.00 60.00
Fractional coordinates of all 4 atoms:
I 0.500 0.500 0.500
As 0.000 0.000 0.000
Pd 0.250 0.250 0.250
Pd 0.750 0.750 0.750



Entry 4:
## AsPdI3 (PBE)

Data for AsPdI3 after structural relaxation.

Results
The volume is 183.6 Å³ per cell. The calculation puts the density at 5.08 g cm⁻³. As for the excess energy over the best structure of this formula in the dataset: 0.090 eV/atom. The value obtained for the magnetic moment is 0.22 μB per cell. The space-group type is No. 221. The calculation puts the energy relative to the elements, uncorrected at 2.64 eV per formula unit.

Lattice parameters (Å, degrees): 5.683 5.683 5.683 90.00 90.00 90.00
Fractional coordinates of all 5 atoms:
I 0.000 0.500 0.000
I 0.000 0.000 0.500
I 0.500 0.000 0.000
As 0.000 0.000 0.000
Pd 0.500 0.500 0.500



Entry 5:
## AsPdI (PBE)

Data for AsPdI after structural relaxation.

Results
The volume is 309.3 Å³ per cell. The calculation puts the density at 6.62 g cm⁻³. As for the excess energy over the best structure of this formula in the dataset: 0.036 eV/atom. The value obtained for the magnetic moment is 0.00 μB per cell. The space-group type is No. 14. The calculation puts the energy relative to the elements, uncorrected at -0.29 eV per formula unit.

Lattice parameters (Å, degrees): 7.404 6.423 6.774 106.23 90.00 90.00
Fractional coordinates of all 12 atoms:
As 0.622 0.881 0.599
As 0.378 0.119 0.401
As 0.122 0.619 0.401
As 0.878 0.381 0.599
Pd 0.063 0.227 0.287
Pd 0.437 0.727 0.287
Pd 0.937 0.773 0.713
Pd 0.563 0.273 0.713
I 0.589 0.315 0.149
I 0.411 0.685 0.851
I 0.911 0.815 0.149
I 0.089 0.185 0.851



Entry 6:
## AsPd2I (PBE)

Data for AsPd2I after structural relaxation.

Results
The volume is 197.2 Å³ per cell. The calculation puts the density at 6.98 g cm⁻³. As for the excess energy over the best structure of this formula in the dataset: 0.000 eV/atom. The value obtained for the magnetic moment is 0.00 μB per cell. The space-group type is No. 122. The calculation puts the energy relative to the elements, uncorrected at -0.12 eV per formula unit.

Lattice parameters (Å, degrees): 6.582 6.582 6.510 59.63 59.63 90.00
Fractional coordinates of all 8 atoms:
I 0.000 0.000 0.000
I 0.750 0.250 0.500
As 0.500 0.500 0.000
As 0.250 0.750 0.500
Pd 0.577 0.125 0.250
Pd 0.173 0.625 0.250
Pd 0.375 0.423 0.750
Pd 0.875 0.827 0.750



Entry 7:
## As3PdI (PBE)

Data for As3PdI after structural relaxation.

Results
The volume is 122.9 Å³ per cell. The calculation puts the density at 6.19 g cm⁻³. As for the excess energy over the best structure of this formula in the dataset: 0.000 eV/atom. The value obtained for the magnetic moment is 0.00 μB per cell. The space-group type is No. 221. The calculation puts the energy relative to the elements, uncorrected at 2.97 eV per formula unit.

Lattice parameters (Å, degrees): 4.972 4.972 4.972 90.00 90.00 90.00
Fractional coordinates of all 5 atoms:
I 0.500 0.500 0.500
As 0.000 0.500 0.000
As 0.000 0.000 0.500
As 0.500 0.000 0.000
Pd 0.000 0.000 0.000



Entry 8:
## AsPdI3 (PBE)

Data for AsPdI3 after structural relaxation.

Results
The volume is 164.8 Å³ per cell. The calculation puts the density at 5.66 g cm⁻³. As for the excess energy over the best structure of this formula in the dataset: 0.000 eV/atom. The value obtained for the magnetic moment is 1.75 μB per cell. The space-group type is No. 221. The calculation puts the energy relative to the elements, uncorrected at 2.19 eV per formula unit.

Lattice parameters (Å, degrees): 5.482 5.482 5.482 90.00 90.00 90.00
Fractional coordinates of all 5 atoms:
I 0.000 0.500 0.000
I 0.000 0.000 0.500
I 0.500 0.000 0.000
As 0.500 0.500 0.500
Pd 0.000 0.000 0.000



Entry 9:
## As2Pd2I (PBE)

Data for As2Pd2I after structural relaxation.

Results
The volume is 107.6 Å³ per cell. The calculation puts the density at 7.56 g cm⁻³. As for the excess energy over the best structure of this formula in the dataset: 0.000 eV/atom. The value obtained for the magnetic moment is 0.00 μB per cell. The space-group type is No. 139. The calculation puts the energy relative to the elements, uncorrected at -0.06 eV per formula unit.

Lattice parameters (Å, degrees): 4.215 4.215 6.748 71.80 71.80 90.00
Fractional coordinates of all 5 atoms:
I 0.000 0.000 0.000
As 0.750 0.250 0.500
As 0.250 0.750 0.500
Pd 0.373 0.373 0.254
Pd 0.627 0.627 0.746



Entry 10:
## AsPdI (PBE)

Data for AsPdI after structural relaxation.

Results
The volume is 158.4 Å³ per cell. The calculation puts the density at 6.46 g cm⁻³. As for the excess energy over the best structure of this formula in the dataset: 0.000 eV/atom. The value obtained for the magnetic moment is 0.00 μB per cell. The space-group type is No. 12. The calculation puts the energy relative to the elements, uncorrected at -0.40 eV per formula unit.

Lattice parameters (Å, degrees): 3.752 6.791 7.815 56.37 76.11 73.96
Fractional coordinates of all 6 atoms:
As 0.328 0.801 0.542
As 0.672 0.199 0.458
Pd 0.127 0.027 0.719
Pd 0.873 0.973 0.281
I 0.900 0.340 0.860
I 0.100 0.660 0.140



Entry 11:
## AsPdI5 (PBE)

Data for AsPdI5 after structural relaxation.

Results
The volume is 569.2 Å³ per cell. The calculation puts the density at 4.76 g cm⁻³. The value obtained for the magnetic moment is 0.00 μB per cell. The space-group type is No. 15. The calculation puts the energy relative to the elements, uncorrected at -0.68 eV per formula unit.

Lattice parameters (Å, degrees): 8.856 8.855 10.233 117.07 117.07 98.47
Fractional coordinates of all 14 atoms:
As 0.500 0.000 0.000
As 0.500 0.000 0.500
Pd 0.809 0.691 0.250
Pd 0.191 0.309 0.750
I 0.835 0.979 0.229
I 0.110 0.702 0.248
I 0.397 0.103 0.250
I 0.521 0.665 0.271
I 0.479 0.335 0.729
I 0.798 0.391 0.252
I 0.202 0.609 0.748
I 0.603 0.897 0.750
I 0.890 0.298 0.752
I 0.165 0.021 0.771



Entry 12:
## AsPdI (PBE)

Data for AsPdI after structural relaxation.

Results
The volume is 71.3 Å³ per cell. The calculation puts the density at 7.17 g cm⁻³. As for the excess energy over the best structure of this formula in the dataset: 0.053 eV/atom. The value obtained for the magnetic moment is 0.00 μB per cell. The space-group type is No. 156. The calculation puts the energy relative to the elements, uncorrected at -0.24 eV per formula unit.

Lattice parameters (Å, degrees): 3.875 3.875 5.485 90.00 90.00 120.00
Fractional coordinates of all 3 atoms:
I 0.000 0.000 0.956
As 0.667 0.333 0.410
Pd 0.333 0.667 0.634



Entry 13:
## As2Pd4I5 (PBE)

Data for As2Pd4I5 after structural relaxation.

Results
The volume is 333.2 Å³ per cell. The calculation puts the density at 6.03 g cm⁻³. The value obtained for the magnetic moment is 0.00 μB per cell. The space-group type is No. 12. The calculation puts the energy relative to the elements, uncorrected at -1.31 eV per formula unit.

Lattice parameters (Å, degrees): 3.892 7.288 12.046 81.30 99.30 90.00
Fractional coordinates of all 11 atoms:
As 0.546 0.386 0.092
As 0.454 0.614 0.908
Pd 0.658 0.419 0.316
Pd 0.021 0.668 0.041
Pd 0.342 0.581 0.684
Pd 0.979 0.332 0.959
I 0.139 0.678 0.278
I 0.861 0.322 0.722
I 0.199 0.180 0.397
I 0.500 0.000 0.000
I 0.801 0.820 0.603



Entry 14:
## Re2AsPdI (PBE)

Data for Re2AsPdI after structural relaxation.

Results
The volume is 121.4 Å³ per cell. The calculation puts the density at 9.31 g cm⁻³. The value obtained for the magnetic moment is 6.73 μB per cell. The space-group type is No. 123. The calculation puts the energy relative to the elements, uncorrected at 10.27 eV per formula unit.

Lattice parameters (Å, degrees): 5.165 4.549 5.165 90.00 90.00 90.00
Fractional coordinates of all 5 atoms:
I 0.500 0.500 0.500
Re 0.000 0.000 0.500
Re 0.500 0.000 0.000
As 0.000 0.500 0.000
Pd 0.000 0.000 0.000



Entry 15:
## Sb2AsPdI (PBE)

Data for Sb2AsPdI after structural relaxation.

Results
The volume is 158.8 Å³ per cell. The calculation puts the density at 5.77 g cm⁻³. As for the excess energy over the best structure of this formula in the dataset: 0.304 eV/atom. The value obtained for the magnetic moment is 0.00 μB per cell. The space-group type is No. 123. The calculation puts the energy relative to the elements, uncorrected at 4.36 eV per formula unit.

Lattice parameters (Å, degrees): 5.389 5.389 5.466 90.00 90.00 90.00
Fractional coordinates of all 5 atoms:
I 0.000 0.000 0.500
Sb 0.000 0.500 0.000
Sb 0.500 0.000 0.000
As 0.000 0.000 0.000
Pd 0.500 0.500 0.500



Entry 16:
## Sb2AsPdI (PBE)

Data for Sb2AsPdI after structural relaxation.

Results
The volume is 146.3 Å³ per cell. The calculation puts the density at 6.26 g cm⁻³. As for the excess energy over the best structure of this formula in the dataset: 0.000 eV/atom. The value obtained for the magnetic moment is 0.00 μB per cell. The space-group type is No. 123. The calculation puts the energy relative to the elements, uncorrected at 2.84 eV per formula unit.

Lattice parameters (Å, degrees): 5.238 5.238 5.333 90.00 90.00 90.00
Fractional coordinates of all 5 atoms:
I 0.000 0.000 0.500
Sb 0.000 0.500 0.000
Sb 0.500 0.000 0.000
As 0.500 0.500 0.500
Pd 0.000 0.000 0.000



Entry 17:
## AsPdSe2I (PBE)

Data for AsPdSe2I after structural relaxation.

Results
The volume is 124.7 Å³ per cell. The calculation puts the density at 6.21 g cm⁻³. As for the excess energy over the best structure of this formula in the dataset: 0.000 eV/atom. The value obtained for the magnetic moment is 0.00 μB per cell. The space-group type is No. 123. The calculation puts the energy relative to the elements, uncorrected at 2.34 eV per formula unit.

Lattice parameters (Å, degrees): 5.059 5.059 4.871 90.00 90.00 90.00
Fractional coordinates of all 5 atoms:
I 0.500 0.500 0.500
As 0.000 0.000 0.500
Se 0.000 0.500 0.000
Se 0.500 0.000 0.000
Pd 0.000 0.000 0.000



Entry 18:
## As2PdSeI (PBE)

Data for As2PdSeI after structural relaxation.

Results
The volume is 124.2 Å³ per cell. The calculation puts the density at 6.18 g cm⁻³. As for the excess energy over the best structure of this formula in the dataset: 0.000 eV/atom. The value obtained for the magnetic moment is 0.41 μB per cell. The space-group type is No. 123. The calculation puts the energy relative to the elements, uncorrected at 2.62 eV per formula unit.

Lattice parameters (Å, degrees): 4.962 4.962 5.042 90.00 90.00 90.00
Fractional coordinates of all 5 atoms:
I 0.500 0.500 0.500
As 0.000 0.500 0.000
As 0.500 0.000 0.000
Se 0.000 0.000 0.500
Pd 0.000 0.000 0.000



Entry 19:
## SiAs2PdI (PBE)

Data for SiAs2PdI after structural relaxation.

Results
The volume is 123.1 Å³ per cell. The calculation puts the density at 5.55 g cm⁻³. The value obtained for the magnetic moment is 0.00 μB per cell. The space-group type is No. 123. The calculation puts the energy relative to the elements, uncorrected at 4.10 eV per formula unit.

Lattice parameters (Å, degrees): 4.715 5.538 4.715 90.00 90.00 90.00
Fractional coordinates of all 5 atoms:
I 0.000 0.500 0.000
As 0.000 0.000 0.500
As 0.500 0.000 0.000
Si 0.000 0.000 0.000
Pd 0.500 0.500 0.500



Entry 20:
## Sr6AsPd2I3 (PBE)

Data for Sr6AsPd2I3 after structural relaxation.

Results
The volume is 436.9 Å³ per cell. The calculation puts the density at 4.54 g cm⁻³. The value obtained for the magnetic moment is 0.00 μB per cell. The space-group type is No. 12. The calculation puts the energy relative to the elements, uncorrected at -12.98 eV per formula unit.

Lattice parameters (Å, degrees): 7.876 7.876 8.553 98.91 98.91 120.00
Fractional coordinates of all 12 atoms:
Sr 0.933 0.600 0.801
Sr 0.734 0.734 0.199
Sr 0.067 0.400 0.199
Sr 0.600 0.933 0.801
Sr 0.266 0.266 0.801
Sr 0.400 0.067 0.199
As 0.000 0.000 0.000
Pd 0.333 0.667 0.000
Pd 0.667 0.333 0.000
I 0.166 0.834 0.500
I 0.834 0.166 0.500
I 0.500 0.500 0.500



Number 1: VASP energy -3.4350 eV per atom. Number 2: VASP energy -4.2518 eV per atom. Number 3: VASP energy -3.9835 eV per atom. Number 4: VASP energy -2.3706 eV per atom. Number 5: VASP energy -3.8949 eV per atom. Number 6: VASP energy -4.1757 eV per atom. Number 7: VASP energy -3.5440 eV per atom. Number 8: VASP energy -2.4601 eV per atom. Number 9: VASP energy -4.2588 eV per atom. Number 10: VASP energy -3.9312 eV per atom. Number 11: VASP energy -2.6097 eV per atom. Number 12: VASP energy -3.8783 eV per atom. Number 13: VASP energy -3.5578 eV per atom. Number 14: VASP energy -5.2034 eV per atom. Number 15: VASP energy -3.0561 eV per atom. Number 16: VASP energy -3.3602 eV per atom. Number 17: VASP energy -3.2052 eV per atom. Number 18: VASP energy -3.3805 eV per atom. Number 19: VASP energy -3.4733 eV per atom. Number 20: VASP energy -3.5627 eV per atom.